# 1
Entry from Alexandria via LeMat-Bulk: a crystal of Al4CoHg relaxed with PBEsol (meta-GGA SCAN).

Output
As for the energy of formation: 373.9 meV per atom. The crystal system is cubic. Its space group is F-43m (216).

Cell lengths 5.1622, 5.1622, 5.1622 Å; angles 60.00, 60.00, 60.00 degrees
With the nearest neighbours (Å) after each atom.
Fractional coordinates of all 6 atoms:
1 Al 0.1240 0.1240 0.1240  6 Al 2.56-2.60
2 Al 0.1240 0.1240 0.6280  6 Al 2.56-2.60
3 Al 0.1240 0.6280 0.1240  6 Al 2.56-2.60
4 Al 0.6280 0.1240 0.1240  6 Al 2.56-2.60
5 Co 0.7500 0.7500 0.7500  12 Al 3.02, 4 Hg 3.16
6 Hg 0.5000 0.5000 0.5000  12 Al 3.03, 4 Co 3.16

***

# 2
Entry from Alexandria via LeMat-Bulk: a crystal of TcOs2F relaxed with PBEsol (meta-GGA SCAN).

Output
The uncorrected formation energy comes out at 0.46 eV per atom. The crystal system is cubic. Its space group is Fm-3m (225).

Cell lengths 4.2055, 4.2055, 4.2055 Å; angles 60.00, 60.00, 60.00 degrees
With the nearest neighbours (Å) after each atom.
Fractional coordinates of all 4 atoms:
1 Tc 0.0000 0.0000 0.0000  8 Os 2.58
2 Os 0.2500 0.2500 0.2500  4 F 2.58, 4 Tc 2.58
3 Os 0.7500 0.7500 0.7500  4 F 2.58, 4 Tc 2.58
4 F 0.5000 0.5000 0.5000  8 Os 2.58

***

# 3
Entry from Alexandria via LeMat-Bulk: a crystal of Li2CdAgCl relaxed with PBEsol (meta-GGA SCAN).

Output
The uncorrected formation energy comes out at -0.40 eV per atom. The crystal system is tetragonal. Its space group is P4/mmm (123).

Cell lengths 4.3149, 4.3149, 5.6220 Å; angles 90.00, 90.00, 90.00 degrees
With the nearest neighbours (Å) after each atom.
Fractional coordinates of all 5 atoms:
1 Li 0.0000 0.5000 0.0000  2 Cl 2.16
2 Li 0.5000 0.0000 0.0000  2 Cl 2.16
3 Cd 0.0000 0.0000 0.5000  4 Ag 3.05
4 Ag 0.5000 0.5000 0.5000  2 Cl 2.81, 4 Cd 3.05
5 Cl 0.5000 0.5000 0.0000  4 Li 2.16

***

# 4
Entry from Alexandria via LeMat-Bulk: a crystal of CoAg3 relaxed with PBEsol (meta-GGA SCAN).

Output
As for the energy of formation: 215.0 meV per atom. The crystal system is trigonal. Its space group is R-3m (166).

Cell lengths 9.2416, 9.2416, 9.2416 Å; angles 17.21, 17.21, 17.21 degrees
With the nearest neighbours (Å) after each atom.
Fractional coordinates of all 4 atoms:
1 Co 0.0000 0.0000 0.0000  6 Ag 2.68, 6 Co 2.77
2 Ag 0.2547 0.2547 0.2547  3 Co 2.68, 9 Ag 2.77-2.89
3 Ag 0.5000 0.5000 0.5000  12 Ag 2.77-2.89
4 Ag 0.7453 0.7453 0.7453  3 Co 2.68, 9 Ag 2.77-2.89

***

# 5
Entry from Alexandria via LeMat-Bulk: a crystal of Y2HgBr relaxed with PBEsol (meta-GGA SCAN).

Output
The uncorrected formation energy comes out at -0.73 eV per atom. The crystal system is cubic. As for the energy above the most stable polymorph in this dataset: 265 meV/atom. Its space group is Fm-3m (225).

Cell lengths 5.1671, 5.1671, 5.1671 Å; angles 60.00, 60.00, 60.00 degrees
With the nearest neighbours (Å) after each atom.
Fractional coordinates of all 4 atoms:
1 Y 0.2500 0.2500 0.2500  4 Hg 3.16, 4 Br 3.16
2 Y 0.7500 0.7500 0.7500  4 Br 3.16, 4 Hg 3.16
3 Hg 0.0000 0.0000 0.0000  8 Y 3.16
4 Br 0.5000 0.5000 0.5000  8 Y 3.16

***

# 6
Entry from Alexandria via LeMat-Bulk: a crystal of MgBeCo2 relaxed with PBEsol (meta-GGA SCAN).

Output
As for the energy of formation: 163.0 meV per atom. The crystal system is trigonal. As for the energy above the most stable polymorph in this dataset: 0 meV/atom. Its space group is R-3m (166).

Cell lengths 7.6962, 7.6962, 7.6962 Å; angles 19.52, 19.52, 19.52 degrees
With the nearest neighbours (Å) after each atom.
Fractional coordinates of all 4 atoms:
1 Mg 0.0000 0.0000 0.0000  6 Mg 2.61, 6 Co 2.61
2 Be 0.5000 0.5000 0.5000  6 Co 2.23
3 Co 0.2391 0.2391 0.2391  3 Be 2.23
4 Co 0.7609 0.7609 0.7609  3 Be 2.23

***

# 7
Entry from Alexandria via LeMat-Bulk: a crystal of TlSiSe2 relaxed with PBEsol (meta-GGA SCAN).

Output
The uncorrected formation energy comes out at -0.12 eV per atom. The crystal system is tetragonal. Its space group is I-42d (122).

Cell lengths 6.4920, 6.4920, 6.4920 Å; angles 111.24, 111.24, 105.99 degrees
With the nearest neighbours (Å) after each atom.
Fractional coordinates of all 8 atoms:
1 Tl 0.0000 0.0000 0.0000  4 Se 3.19
2 Tl 0.7500 0.2500 0.5000  4 Se 3.19
3 Si 0.2500 0.7500 0.5000  4 Se 2.42
4 Si 0.5000 0.5000 0.0000  4 Se 2.42
5 Se 0.2052 0.1250 0.5802  2 Si 2.42
6 Se 0.3750 0.7948 0.9198  2 Si 2.42
7 Se 0.5448 0.6250 0.4198  2 Si 2.42
8 Se 0.8750 0.4552 0.0802  2 Si 2.42

***

# 8
Entry from Alexandria via LeMat-Bulk: a crystal of Tb2InAg relaxed with PBEsol (meta-GGA SCAN).

Output
As for the energy of formation: -506.9 meV per atom. The crystal system is tetragonal. Its space group is P4/mmm (123).

Cell lengths 3.5513, 3.5513, 7.6741 Å; angles 90.00, 90.00, 90.00 degrees
With the nearest neighbours (Å) after each atom.
Fractional coordinates of all 4 atoms:
1 Tb 0.0000 0.0000 0.2374  4 Ag 3.10, 4 In 3.22
2 Tb 0.0000 0.0000 0.7626  4 Ag 3.10, 4 In 3.22
3 In 0.5000 0.5000 0.5000  8 Tb 3.22, 4 In 3.55
4 Ag 0.5000 0.5000 0.0000  8 Tb 3.10

***

# 9
Entry from Alexandria via LeMat-Bulk: a crystal of MgSbPt3 relaxed with PBEsol (meta-GGA SCAN).

Output
The uncorrected formation energy comes out at 0.46 eV per atom. The crystal system is cubic. Its space group is Pm-3m (221).

Cell lengths 4.8829, 4.8829, 4.8829 Å; angles 90.00, 90.00, 90.00 degrees
With the nearest neighbours (Å) after each atom.
Fractional coordinates of all 5 atoms:
1 Mg 0.0000 0.0000 0.0000  12 Pt 3.45
2 Sb 0.5000 0.5000 0.5000  6 Pt 2.44
3 Pt 0.0000 0.5000 0.5000  2 Sb 2.44
4 Pt 0.5000 0.0000 0.5000  2 Sb 2.44
5 Pt 0.5000 0.5000 0.0000  2 Sb 2.44

***

# 10
Entry from Alexandria via LeMat-Bulk: a crystal of CuPb2W relaxed with PBEsol (meta-GGA SCAN).

Output
As for the energy of formation: 1014.3 meV per atom. The crystal system is tetragonal. As for the energy above the most stable polymorph in this dataset: 0 meV/atom. Its space group is P4/mmm (123).

Cell lengths 4.8041, 4.8041, 3.3394 Å; angles 90.00, 90.00, 90.00 degrees
With the nearest neighbours (Å) after each atom.
Fractional coordinates of all 4 atoms:
1 Cu 0.0000 0.0000 0.0000  8 Pb 2.93
2 Pb 0.0000 0.5000 0.5000  4 W 2.93, 4 Cu 2.93
3 Pb 0.5000 0.0000 0.5000  4 W 2.93, 4 Cu 2.93
4 W 0.5000 0.5000 0.0000  8 Pb 2.93

***

# 11
Entry from Alexandria via LeMat-Bulk: a crystal of NaTmS2O8 relaxed with PBEsol (meta-GGA SCAN).

Output
The uncorrected formation energy comes out at -2.34 eV per atom. The crystal system is monoclinic. Its space group is P2_1/m (11).

Cell lengths 4.6181, 6.7894, 9.6818 Å; angles 90.00, 97.56, 90.00 degrees
With the nearest neighbours (Å) after each atom.
Fractional coordinates of all 24 atoms:
1 Na 0.1163 0.2500 0.3568  3 O 2.27-2.40
2 Na 0.8837 0.7500 0.6432  3 O 2.27-2.40
3 Tm 0.1452 0.2500 0.8250  7 O 2.21-2.35
4 Tm 0.8548 0.7500 0.1750  7 O 2.21-2.35
5 S 0.3411 0.7500 0.4000  4 O 1.45-1.50
6 S 0.3644 0.7500 0.9287  4 O 1.47-1.51
7 S 0.6356 0.2500 0.0713  4 O 1.47-1.51
8 S 0.6589 0.2500 0.6000  4 O 1.45-1.50
9 O 0.1820 0.5777 0.3294  1 S 1.50
10 O 0.1820 0.9223 0.3294  1 S 1.50
11 O 0.2416 0.5742 0.8534  1 S 1.47
12 O 0.2416 0.9258 0.8534  1 S 1.47
13 O 0.2942 0.7500 0.0762  1 S 1.51
14 O 0.3121 0.2500 0.0586  1 S 1.48
15 O 0.3407 0.7500 0.5500  1 S 1.45
16 O 0.3516 0.2500 0.6311  1 S 1.49
17 O 0.6484 0.7500 0.3689  1 S 1.49
18 O 0.6593 0.2500 0.4500  1 S 1.45
19 O 0.6879 0.7500 0.9414  1 S 1.48
20 O 0.7058 0.2500 0.9238  1 S 1.51
21 O 0.7584 0.0742 0.1466  1 S 1.47
22 O 0.7584 0.4258 0.1466  1 S 1.47
23 O 0.8180 0.0777 0.6706  1 S 1.50
24 O 0.8180 0.4223 0.6706  1 S 1.50

***

# 12
Entry from Alexandria via LeMat-Bulk: a crystal of Cs3Er5P6S24 relaxed with PBEsol (meta-GGA SCAN).

Output
The uncorrected formation energy comes out at -1.24 eV per atom. The crystal system is monoclinic. Its space group is Cc (9).

Cell lengths 10.1854, 10.1854, 20.4362 Å; angles 100.15, 100.15, 78.06 degrees
With the nearest neighbours (Å) after each atom.
Fractional coordinates of all 76 atoms:
1 Cs 0.1193 0.8807 0.5000  9 S 3.54-3.96
2 Cs 0.3271 0.8234 0.2424  6 S 3.52-3.92
3 Cs 0.5114 0.7590 0.9241  8 S 3.53-3.74
4 Cs 0.7590 0.5114 0.4241  8 S 3.53-3.74
5 Cs 0.8234 0.3271 0.7424  6 S 3.52-3.92
6 Cs 0.8807 0.1193 0.0000  9 S 3.54-3.96
7 Er 0.0290 0.8065 0.7829  7 S 2.72-2.89
8 Er 0.1458 0.3868 0.2769  8 S 2.76-2.92
9 Er 0.2503 0.4918 0.6442  8 S 2.75-2.93
10 Er 0.2632 0.3748 0.9613  8 S 2.75-3.00
11 Er 0.3748 0.2632 0.4613  8 S 2.75-3.00
12 Er 0.3868 0.1458 0.7769  8 S 2.76-2.92
13 Er 0.4918 0.2503 0.1442  8 S 2.75-2.93
14 Er 0.6071 0.8289 0.6388  7 S 2.71-2.89
15 Er 0.8065 0.0290 0.2829  7 S 2.72-2.89
16 Er 0.8289 0.6071 0.1388  7 S 2.71-2.89
17 P 0.0728 0.1701 0.3719  4 S 2.01-2.06
18 P 0.1451 0.4042 0.1086  4 S 2.01-2.06
19 P 0.1701 0.0728 0.8719  4 S 2.01-2.06
20 P 0.2332 0.4916 0.8124  4 S 2.01-2.06
21 P 0.4042 0.1451 0.6086  4 S 2.01-2.06
22 P 0.4665 0.5631 0.5498  4 S 2.02-2.07
23 P 0.4916 0.2332 0.3124  4 S 2.01-2.06
24 P 0.5631 0.4665 0.0498  4 S 2.02-2.07
25 P 0.6677 0.9294 0.1170  4 S 2.01-2.07
26 P 0.7073 0.9673 0.8047  4 S 2.01-2.07
27 P 0.9294 0.6677 0.6170  4 S 2.01-2.07
28 P 0.9673 0.7073 0.3047  4 S 2.01-2.07
29 S 0.0191 0.1539 0.2690  1 P 2.06
30 S 0.0470 0.2539 0.8959  1 P 2.04
31 S 0.0590 0.5375 0.0449  1 P 2.01
32 S 0.0973 0.5769 0.8752  1 P 2.01
33 S 0.0976 0.7556 0.6526  1 P 2.06
34 S 0.1076 0.3633 0.4045  1 P 2.05
35 S 0.1426 0.9111 0.9088  1 P 2.01
36 S 0.1539 0.0191 0.7690  1 P 2.06
37 S 0.1568 0.6410 0.3495  1 P 2.02
38 S 0.1618 0.3554 0.7340  1 P 2.06
39 S 0.2309 0.2475 0.5607  1 P 2.04
40 S 0.2475 0.2309 0.0607  1 P 2.04
41 S 0.2539 0.0470 0.3959  1 P 2.04
42 S 0.2726 0.5306 0.5166  1 P 2.05
43 S 0.2812 0.4761 0.1871  1 P 2.06
44 S 0.2855 0.6410 0.7735  1 P 2.04
45 S 0.3519 0.9962 0.6480  1 P 2.04
46 S 0.3554 0.1618 0.2340  1 P 2.06
47 S 0.3633 0.1076 0.9045  1 P 2.05
48 S 0.3816 0.5892 0.0282  1 P 2.03
49 S 0.3905 0.4063 0.3611  1 P 2.04
50 S 0.4063 0.3905 0.8611  1 P 2.04
51 S 0.4761 0.2812 0.6871  1 P 2.06
52 S 0.4798 0.6201 0.6525  1 P 2.07
53 S 0.4800 0.9975 0.0718  1 P 2.01
54 S 0.4951 0.7244 0.5126  1 P 2.02
55 S 0.5306 0.2726 0.0166  1 P 2.05
56 S 0.5375 0.0590 0.5449  1 P 2.01
57 S 0.5379 0.8815 0.7697  1 P 2.05
58 S 0.5769 0.0973 0.3752  1 P 2.01
59 S 0.5892 0.3816 0.5282  1 P 2.03
60 S 0.6201 0.4798 0.1525  1 P 2.07
61 S 0.6410 0.1568 0.8495  1 P 2.02
62 S 0.6410 0.2855 0.2735  1 P 2.04
63 S 0.6515 0.8406 0.1982  1 P 2.07
64 S 0.7244 0.4951 0.0126  1 P 2.02
65 S 0.7556 0.0976 0.1526  1 P 2.06
66 S 0.7921 0.8009 0.0583  1 P 2.01
67 S 0.7958 0.9830 0.7234  1 P 2.07
68 S 0.8009 0.7921 0.5583  1 P 2.01
69 S 0.8352 0.8433 0.8637  1 P 2.01
70 S 0.8406 0.6515 0.6982  1 P 2.07
71 S 0.8433 0.8352 0.3637  1 P 2.01
72 S 0.8815 0.5379 0.2697  1 P 2.05
73 S 0.9111 0.1426 0.4088  1 P 2.01
74 S 0.9830 0.7958 0.2234  1 P 2.07
75 S 0.9962 0.3519 0.1480  1 P 2.04
76 S 0.9975 0.4800 0.5718  1 P 2.01

***

Record-wise electronic total energy values, in eV per cell: -114.23 -180.54 -76.52 -110.55 -146.22 -43.28 -246.03 -160.31 -250.51 -232.39 -306.53 -1411.77
Record-wise N(E_F) values, in states/eV/cell: 3.0 4.4 1.3 2.0 4.2 1.5 7.4 2.6 3.3 2.9 0.0 0.0